1.
Na2AsH: optimized geometry, GGA-PBE.

The structure in CIF format:
```
data_Na2AsH
_chemical_formula_sum 'Na2 As1 H1'
_cell_length_a 8.589
_cell_length_b 8.589
_cell_length_c 8.589
_cell_angle_alpha 21.70
_cell_angle_beta 21.70
_cell_angle_gamma 21.70
_symmetry_space_group_name_H-M 'P 1'
_symmetry_Int_Tables_number 1
loop_
_symmetry_equiv_pos_as_xyz
'x,y,z'
loop_
_atom_site_label
_atom_site_type_symbol
_atom_site_fract_x
_atom_site_fract_y
_atom_site_fract_z
_atom_site_occupancy
Na1 Na 0.110 0.110 0.110 1
Na2 Na 0.890 0.890 0.890 1
As1 As 0.000 0.000 0.000 1
H1 H 0.500 0.500 0.500 1
```

Properties
volume = 18.98 Å³ per atom
E = -2.645 eV/atom
energy relative to the lowest polymorph listed for this composition = 8.007 kcal/mol of atoms
total magnetic moment = 0.0 μB/f.u.

***

2.
NaAsH: optimized geometry, GGA-PBE.

The structure in CIF format:
```
data_NaAsH
_chemical_formula_sum 'Na2 As2 H2'
_cell_length_a 3.024
_cell_length_b 5.230
_cell_length_c 7.229
_cell_angle_alpha 83.67
_cell_angle_beta 82.19
_cell_angle_gamma 89.90
_symmetry_space_group_name_H-M 'P 1'
_symmetry_Int_Tables_number 1
loop_
_symmetry_equiv_pos_as_xyz
'x,y,z'
loop_
_atom_site_label
_atom_site_type_symbol
_atom_site_fract_x
_atom_site_fract_y
_atom_site_fract_z
_atom_site_occupancy
Na1 Na 0.179 0.299 0.218 1
Na2 Na 0.821 0.701 0.782 1
As1 As 0.317 0.199 0.779 1
As2 As 0.683 0.801 0.221 1
H1 H 0.391 0.276 0.564 1
H2 H 0.609 0.724 0.436 1
```

Properties
volume = 18.76 Å³ per atom
E = -3.208 eV/atom
energy relative to the lowest polymorph listed for this composition = 1.907 kcal/mol of atoms
total magnetic moment = 0.0 μB/f.u.